This record from Alexandria via LeMat-Bulk describes a geometry-optimized SrRh2Br structure. The functional is PBE.

Cell lengths 3.5061, 7.8201, 7.8201 Å; angles 25.84, 90.00, 90.00 degrees
Last column: nearest neighbours and their distance in Å.
Sites, in units of the cell vectors:
Sr  0.0000  0.0000  0.0000  5 Rh 3.01-3.32, 4 Br 3.09
Rh  0.0000  0.8024  0.8024  4 Rh 2.60
Rh  0.5000  0.3549  0.3549  4 Rh 2.60
Br  0.5000  0.6212  0.6212  4 Sr 3.09, 2 Rh 3.27

Results
distance to the lowest polymorph of the same formula = 0.000 eV per atom
calculated density = 6.6 g/cm3
uncorrected formation energy = -1.0 eV/f.u.
density of states at the Fermi level = 3.9 states/eV/f.u.